# 1
Ac2HoCrS6: relaxed, PBE.

Output
The crystal system is orthorhombic. As for the space-group type: Pmmn, No. 59. As for the total magnetization: 0.30 μB per atom. The calculation puts the energy relative to the elements, uncorrected at -1.62 eV/atom.

Structure (POSCAR):
```
Ac2HoCrS6
1.0
-6.8708 1.5083 -0.8659
-1.2704 -2.1265 6.3757
1.5990 9.2349 3.3987
S Ac Cr Ho
12 4 2 2
direct
0.7188 0.5140 0.0000 S
0.0000 0.7654 0.2626 S
0.0000 0.7654 0.7374 S
0.2812 0.5140 0.0000 S
0.5000 0.2346 0.2374 S
0.5000 0.2346 0.7626 S
0.2362 0.9815 0.5000 S
0.7362 0.0185 0.0000 S
0.7638 0.9815 0.5000 S
0.7812 0.4860 0.5000 S
0.2638 0.0185 0.0000 S
0.2188 0.4860 0.5000 S
0.0000 0.2207 0.2914 Ac
0.0000 0.2207 0.7086 Ac
0.5000 0.7793 0.7914 Ac
0.5000 0.7793 0.2086 Ac
0.5000 0.2593 0.0000 Cr
0.0000 0.7407 0.5000 Cr
0.5000 0.2495 0.5000 Ho
0.0000 0.7505 0.0000 Ho
```



# 2
AcCrI2: relaxed, PBE.

Output
The density of states at the Fermi level is 3.7 states/eV/f.u. The crystal system is trigonal. As for the space-group type: R-3m, No. 166. As for the total magnetization: 1.28 μB per atom. The calculation puts the energy relative to the elements, uncorrected at -0.17 eV/atom.

Structure (POSCAR):
```
AcCrI2
1.0
-3.4572 -1.8970 -1.5746
0.3760 -2.8244 -3.1482
-0.0552 -8.8883 5.1041
Cr Ac I
1 1 2
direct
0.5000 0.5000 0.5000 Cr
0.0000 0.0000 0.0000 Ac
0.8890 0.8890 0.3330 I
0.1110 0.1110 0.6670 I
```



# 3
AcCrI6: relaxed, PBE.

Output
The crystal system is trigonal. As for the space-group type: R-3, No. 148. As for the total magnetization: 0.37 μB per atom. The calculation puts the energy relative to the elements, uncorrected at -0.86 eV/atom.

Structure (POSCAR):
```
AcCrI6
1.0
-4.0217 -1.6598 -6.1087
-6.3364 -3.9603 0.6434
-7.0158 3.9516 -1.0589
I Ac Cr
6 1 1
direct
0.6119 0.2171 0.2294 I
0.2171 0.9416 0.2294 I
0.0584 0.3881 0.7706 I
0.7829 0.0584 0.7706 I
0.3881 0.7829 0.7706 I
0.9416 0.6119 0.2294 I
0.5000 0.5000 0.5000 Ac
0.0000 0.0000 0.0000 Cr
```